Here is an optimized crystal structure of Co3B7ClO13 from the Alexandria database. Energies are from PBE+U.

Cell: 8.624 8.624 8.652 Å, 60.11 60.11 60.00°
Element x y z (fractional)
O  0.567  0.390  0.230
Co  0.527  0.530  0.973
B  0.928  0.236  0.907
O  0.288  0.753  0.057
O  0.567  0.802  0.383
O  0.302  0.067  0.883
B  0.428  0.429  0.407
Cl  0.233  0.233  0.302
B  0.429  0.736  0.407
O  0.313  0.890  0.730
B  0.736  0.428  0.407
O  0.067  0.313  0.730
B  0.236  0.929  0.907
B  0.900  0.900  0.301
O  0.890  0.067  0.730
O  0.813  0.567  0.230
O  0.514  0.514  0.458
Cl  0.733  0.733  0.802
O  0.390  0.813  0.230
B  0.755  0.754  0.242
O  0.396  0.557  0.810
B  0.754  0.248  0.242
B  0.254  0.255  0.742
O  0.237  0.396  0.810
O  0.788  0.401  0.557
B  0.400  0.400  0.801
O  0.901  0.288  0.057
O  0.737  0.057  0.310
O  0.753  0.901  0.057
O  0.248  0.567  0.383
O  0.802  0.248  0.383
B  0.255  0.748  0.742
O  0.557  0.237  0.810
B  0.929  0.928  0.907
O  0.896  0.737  0.310
O  0.748  0.302  0.883
Co  0.530  0.970  0.973
O  0.401  0.253  0.557
Co  0.970  0.527  0.973
Co  0.030  0.027  0.473
B  0.748  0.254  0.742
Co  0.027  0.470  0.473
O  0.067  0.748  0.883
O  0.014  0.014  0.958
B  0.248  0.755  0.242
O  0.057  0.896  0.310
O  0.253  0.788  0.557
Co  0.470  0.030  0.473

Output
V, Å³/f.u.: 227.9
Electronic total energy, eV per atom: -7.421
Magnetic moment, μB per atom: 0.38
Space-group type: R3c (161)